Here is an optimized crystal structure of LiGa2Hg from the Alexandria database. Energies are from PBE.

DOS at the Fermi energy = 3.2 states/eV per cell
M_tot = 0.00 μB per formula unit
Energy of formation from the pure elements = -143.4 meV per atom
SG = No. 12
Total energy = -17.7 eV/cell

Cell lengths 5.1680, 5.1679, 6.5921 Å; angles 106.39, 106.40, 105.33 degrees
Atoms (fractional coordinates):
Ga1 0.8727 0.8726 0.2658
Ga2 0.0000 0.5000 0.5000
Ga3 0.5000 0.0000 0.5000
Ga4 0.1273 0.1274 0.7342
Li1 0.2543 0.7457 0.9999
Li2 0.7457 0.2543 0.0001
Hg1 0.6498 0.6498 0.7787
Hg2 0.3502 0.3502 0.2213



Here is an optimized crystal structure of Li4GaHg5 from the Alexandria database. Energies are from PBE.

DOS at the Fermi energy = 2.2 states/eV per cell
M_tot = 0.00 μB per formula unit
Energy of formation from the pure elements = -291.2 meV per atom
SG = No. 123
Total energy = -15.1 eV/cell

Cell lengths 3.4569, 3.4569, 16.1948 Å; angles 90.00, 90.00, 90.00 degrees
Atoms (fractional coordinates):
Hg1 0.5000 0.5000 0.1093
Hg2 0.5000 0.5000 0.6950
Hg3 0.5000 0.5000 0.8907
Hg4 0.5000 0.5000 0.5000
Hg5 0.5000 0.5000 0.3050
Li1 0.0000 0.0000 0.7965
Li2 0.0000 0.0000 0.5985
Li3 0.0000 0.0000 0.2035
Li4 0.0000 0.0000 0.4015
Ga1 0.0000 0.0000 0.0000



Here is an optimized crystal structure of LiGaHg from the Alexandria database. Energies are from PBE.

DOS at the Fermi energy = 1.7 states/eV per cell
M_tot = 0.00 μB per formula unit
Energy of formation from the pure elements = -124.7 meV per atom
SG = No. 216
Total energy = -5.6 eV/cell
Energy above the lowest structure with this stoichiometry = 106 meV/atom

Cell lengths 4.4995, 4.4995, 4.4995 Å; angles 60.00, 60.00, 60.00 degrees
Atoms (fractional coordinates):
Hg1 0.2500 0.2500 0.2500
Ga1 0.0000 0.0000 0.0000
Li1 0.5000 0.5000 0.5000



Here is an optimized crystal structure of Li2Ga2Hg from the Alexandria database. Energies are from PBE.

DOS at the Fermi energy = 1.4 states/eV per cell
M_tot = 0.00 μB per formula unit
Energy of formation from the pure elements = -77.6 meV per atom
SG = No. 139
Total energy = -10.6 eV/cell
Energy above the lowest structure with this stoichiometry = 156 meV/atom

Cell lengths 3.8335, 3.8335, 7.0571 Å; angles 74.24, 74.24, 90.00 degrees
Atoms (fractional coordinates):
Li1 0.2500 0.7500 0.5000
Li2 0.7500 0.2500 0.5000
Ga1 0.5989 0.5989 0.8021
Ga2 0.4011 0.4011 0.1979
Hg1 0.0000 0.0000 0.0000



Which of these has the highest total energy? LiGaHg